Compound: Ac2Sm7Dy2
Source: Alexandria via LeMat-Bulk
Functional: PBE
Structure: relaxed

Computed properties:
The calculated formation energy comes out at 0.3253 eV/atom.

Lattice parameters (Å, degrees): 9.834 9.302 9.501 90.00 107.81 90.00
Space group C2/m (No. 12)
Asymmetric unit:
Ac: 0.124 0.000 0.399
Sm: 0.000 0.500 0.500
Sm: 0.144 0.308 0.778
Sm: 0.160 0.500 0.133
Dy: 0.000 0.162 0.000